[1]
DFT (PBEsol) results for a relaxed structure of CrRe2Si.

Lattice parameters (Å, degrees): 2.981 4.074 8.505 90.00 90.00 90.00
Space group Imm2 (No. 44)
Asymmetric unit:
Cr 0.000 0.000 0.000 x2
Re 0.000 0.000 0.484 x2
Re 0.000 0.500 0.245 x2
Si 0.000 0.500 0.734 x2

Properties
- DOS(E_F) (states/eV/f.u.) = 2.45
- magnetization (μB per cell) = 0.0
- electronic total energy (eV/atom) = -10.855
- raw formation energy (eV/atom) = -0.191
- calculated density (Mg/m³) = 14.55

[2]
DFT (PBEsol) results for a relaxed structure of LaCu2Pt2.

Lattice parameters (Å, degrees): 3.914 3.914 11.703 90.00 90.00 90.00
Space group I4/mmm (No. 139)
Asymmetric unit:
La 0.000 0.000 0.000 x2
Cu 0.000 0.500 0.250 x4
Pt 0.000 0.000 0.388 x4

Properties
- DOS(E_F) (states/eV/f.u.) = 1.69
- magnetization (μB per cell) = 0.0
- electronic total energy (eV/atom) = -6.104
- calculated density (Mg/m³) = 12.16
- excess energy over the best structure of this formula in the dataset (eV per atom) = 0.000
- formation enthalpy at 0 K (meV/atom) = -516

[3]
DFT (PBEsol) results for a relaxed structure of KOs2Rh.

Lattice parameters (Å, degrees): 5.405 10.187 2.584 90.00 114.63 90.00
Space group C2/m (No. 12)
Asymmetric unit:
K 0.000 0.000 0.000 x2
Os 0.250 0.250 0.500 x4
Rh 0.000 0.500 0.000 x2

Properties
- DOS(E_F) (states/eV/f.u.) = 5.37
- magnetization (μB per cell) = 1.3
- electronic total energy (eV/atom) = -7.083
- calculated density (Mg/m³) = 13.42
- excess energy over the best structure of this formula in the dataset (eV per atom) = 0.645
- formation enthalpy at 0 K (meV/atom) = 1343

[4]
DFT (PBEsol) results for a relaxed structure of Zn2InSb.

Lattice parameters (Å, degrees): 3.2406 3.2406 27.4979 90.00 90.00 120.00
Space group R3m (No. 160, hexagonal axes)
Asymmetric unit:
Zn 0.0000 0.0000 0.0000 x3
Zn 0.0000 0.0000 0.2679 x3
In 0.0000 0.0000 0.5196 x3
Sb 0.0000 0.0000 0.7495 x3

Properties
- DOS(E_F) (states/eV/f.u.) = 1.73
- magnetization (μB per cell) = 0.0
- electronic total energy (eV/atom) = -2.515
- raw formation energy (eV/atom) = 0.161
- calculated density (Mg/m³) = 7.32
- excess energy over the best structure of this formula in the dataset (eV per atom) = 0.059